The following is a PBE calculation of crystalline PaSnOsO6 at its relaxed geometry, from the Alexandria database.

Structure (POSCAR):
```
PaSnOsO6
1.0
-3.5237 -1.3403 -7.1769
1.3879 -7.0637 0.6378
-3.7909 3.4750 5.7909
O Sn Os Pa
12 2 2 2
Direct
0.7956 0.6675 0.2408
0.7956 0.0733 0.2408
0.8434 0.0934 0.6867
0.2044 0.9267 0.7592
0.1566 0.9066 0.3133
0.4452 0.6675 0.2408
0.4623 0.7123 0.9245
0.5377 0.2877 0.0755
0.2044 0.3325 0.7592
0.5548 0.9267 0.7592
0.5548 0.3325 0.7592
0.4452 0.0733 0.2408
0.0295 0.2795 0.0590
0.9705 0.7205 0.9410
0.5000 0.5000 0.0000
0.5000 0.0000 0.0000
0.5000 0.0000 0.5000
0.0000 0.0000 0.5000
```

Properties
- raw formation energy (eV per atom) = -1.836
- space group = No. 74
- electronic total energy (Ha/atom) = -0.290



The following is a PBE calculation of crystalline Li2Pd6Pb at its relaxed geometry, from the Alexandria database.

Structure (POSCAR):
```
Li2Pd6Pb
1.0
-2.4825 -3.7127 0.1265
1.7357 1.6564 3.7688
-6.7357 4.5415 1.1051
Li Pd Pb
2 6 1
Direct
0.6667 0.3333 0.2682
0.3333 0.6667 0.7318
0.6667 0.3333 0.9624
0.6667 0.3333 0.6236
0.3333 0.6667 0.3764
0.0000 0.0000 0.8330
0.3333 0.6667 0.0376
0.0000 0.0000 0.1670
0.0000 0.0000 0.5000
```

Properties
- space group = No. 164
- ΔE_f (meV per atom) = -292
- electronic total energy (Ha/atom) = -0.169
- excess energy over the best structure of this formula in the dataset (eV per atom) = 0.000



The following is a PBE calculation of crystalline Ac7TmPb5 at its relaxed geometry, from the Alexandria database.

Structure (POSCAR):
```
Ac7TmPb5
1.0
-2.2132 5.0430 -4.3031
1.9218 -1.7473 -8.7120
-8.3600 -1.5653 -3.2105
Tm Pb Ac
1 5 7
Direct
0.9083 0.0917 0.0917
0.5460 0.4583 0.9869
0.5460 0.9869 0.4583
0.7853 0.7147 0.7147
0.0087 0.9869 0.4583
0.0087 0.4583 0.9869
0.5340 0.1304 0.8016
0.0209 0.2986 0.6596
0.5875 0.4125 0.4125
0.0209 0.6596 0.2986
0.2728 0.2272 0.2272
0.5340 0.8016 0.1304
0.2269 0.7731 0.7731
```

Properties
- space group = No. 44
- ΔE_f (meV per atom) = -287
- electronic total energy (Ha/atom) = -0.157



The following is a PBE calculation of crystalline Nd4Y3ErTe8 at its relaxed geometry, from the Alexandria database.

Structure (POSCAR):
```
Nd4Y3ErTe8
1.0
-4.7551 7.3067 0.9438
-2.0833 -0.2328 -8.6942
-1.6743 -6.9984 5.0105
Nd Te Y Er
4 8 3 1
Direct
0.0000 0.0000 0.5000
0.0000 0.0000 0.0000
0.5000 0.0000 0.0000
0.5000 0.0000 0.5000
0.7554 0.2631 0.5108
0.2524 0.2631 0.0077
0.2446 0.7369 0.4892
0.7461 0.7383 0.4922
0.7476 0.7369 0.9923
0.2447 0.7369 0.9923
0.2539 0.2617 0.5078
0.7553 0.2631 0.0077
0.5000 0.5000 0.5000
0.5000 0.5000 0.0000
0.0000 0.5000 0.5000
0.0000 0.5000 0.0000
```

Properties
- raw formation energy (eV per atom) = -1.355
- space group = No. 166
- electronic total energy (Ha/atom) = -0.206